Entry 1:
Computed, not measured: PaSnPt after structural relaxation at the PBE level of DFT.

Structure (POSCAR):
```
PaSnPt
1.0
6.677 0.000 0.000
0.000 6.677 0.000
0.000 0.000 6.677
Pa Sn Pt
4 4 4
direct
0.000 0.000 0.000
0.000 0.500 0.500
0.500 0.000 0.500
0.500 0.500 0.000
0.000 0.000 0.500
0.000 0.500 0.000
0.500 0.000 0.000
0.500 0.500 0.500
0.250 0.250 0.250
0.250 0.750 0.750
0.750 0.250 0.750
0.750 0.750 0.250
```

Results
size of the total moment	0.05	μB/cell
E_tot	-7.29	eV/atom
Fermi-level density of states	15.523	states/eV per cell
SG	F-43m, No. 216

Entry 2:
Computed, not measured: Pm8Sm3Pu after structural relaxation at the PBE level of DFT.

Structure (POSCAR):
```
Pm8Sm3Pu
1.0
-4.382 4.382 5.768
4.382 -4.382 5.768
4.382 4.382 -5.768
Pm Sm Pu
8 3 1
direct
0.112 0.112 0.752
0.211 0.211 0.469
0.258 0.789 0.000
0.361 0.361 0.248
0.639 0.888 0.000
0.742 0.742 0.531
0.789 0.258 0.000
0.888 0.639 0.000
0.250 0.750 0.500
0.500 0.500 0.000
0.750 0.250 0.500
0.000 0.000 0.000
```

Results
size of the total moment	4.77	μB/cell
E_tot	-5.01	eV/atom
Fermi-level density of states	17.570	states/eV per cell
SG	I-42m, No. 121

Entry 3:
Computed, not measured: V2GaCu after structural relaxation at the PBE level of DFT.

Structure (POSCAR):
```
V2GaCu
1.0
4.066 0.000 0.000
0.000 3.153 0.000
-0.442 0.000 8.457
V Ga Cu
4 2 2
direct
0.013 0.250 0.118
0.487 0.250 0.877
0.513 0.750 0.123
0.987 0.750 0.882
0.051 0.750 0.367
0.949 0.250 0.633
0.448 0.750 0.624
0.552 0.250 0.376
```

Results
size of the total moment	0.00	μB/cell
E_tot	-6.44	eV/atom
Fermi-level density of states	5.292	states/eV per cell
SG	P2_1/m, No. 11

Q: What is the E_tot in the first record?
A: -7.29 eV/atom